Compound: YMgZn5Au2
Source: the Alexandria database
Functional: PBE-GGA
Structure: relaxed

Space group ... P4/mmm

a b c (Å): 4.758 4.758 7.920
angles (deg): 90.00 90.00 90.00
Sites, in units of the cell vectors:
Y 0.000 0.000 0.000
Mg 0.000 0.000 0.500
Zn 0.000 0.500 0.226
Zn 0.000 0.500 0.774
Zn 0.500 0.000 0.226
Zn 0.500 0.000 0.774
Zn 0.500 0.500 0.000
Au 0.500 0.500 0.334
Au 0.500 0.500 0.666

=====

Compound: YMgZn2Au5
Source: the Alexandria database
Functional: PBE-GGA
Structure: relaxed

Space group ... P4/mmm

a b c (Å): 4.521 4.521 8.801
angles (deg): 90.00 90.00 90.00
Sites, in units of the cell vectors:
Y 0.000 0.000 0.000
Mg 0.000 0.000 0.500
Zn 0.500 0.500 0.366
Zn 0.500 0.500 0.634
Au 0.000 0.500 0.229
Au 0.000 0.500 0.771
Au 0.500 0.000 0.229
Au 0.500 0.000 0.771
Au 0.500 0.500 0.000

=====

Compound: YMgZn2Au4
Source: the Alexandria database
Functional: PBE-GGA
Structure: relaxed

Space group ... R-3m

a b c (Å): 8.610 8.610 8.610
angles (deg): 30.96 30.96 30.96
Sites, in units of the cell vectors:
Y 0.000 0.000 0.000
Mg 0.500 0.500 0.500
Zn 0.247 0.247 0.247
Zn 0.753 0.753 0.753
Au 0.128 0.128 0.128
Au 0.390 0.390 0.390
Au 0.610 0.610 0.610
Au 0.872 0.872 0.872

=====

Compound: YMg2ZnAu4
Source: the Alexandria database
Functional: PBE-GGA
Structure: relaxed

Space group ... R-3m

a b c (Å): 8.738 8.738 8.738
angles (deg): 30.76 30.76 30.76
Sites, in units of the cell vectors:
Y 0.000 0.000 0.000
Mg 0.242 0.242 0.242
Mg 0.758 0.758 0.758
Zn 0.500 0.500 0.500
Au 0.127 0.127 0.127
Au 0.392 0.392 0.392
Au 0.608 0.608 0.608
Au 0.873 0.873 0.873

=====

Compound: YMg2ZnAu2
Source: the Alexandria database
Functional: PBE-GGA
Structure: relaxed

Space group ... I4/mmm

a b c (Å): 9.245 9.245 9.245
angles (deg): 152.40 152.40 39.42
Sites, in units of the cell vectors:
Y 0.000 0.000 0.000
Mg 0.250 0.750 0.500
Mg 0.750 0.250 0.500
Zn 0.500 0.500 0.000
Au 0.163 0.163 0.000
Au 0.837 0.837 0.000

=====

Compound: YMgZn2Au2
Source: the Alexandria database
Functional: PBE-GGA
Structure: relaxed

Space group ... P-3m1

a b c (Å): 4.520 4.520 6.584
angles (deg): 90.00 90.00 120.00
Sites, in units of the cell vectors:
Y 0.000 0.000 0.000
Mg 0.000 0.000 0.500
Zn 0.333 0.667 0.714
Zn 0.667 0.333 0.286
Au 0.333 0.667 0.268
Au 0.667 0.333 0.732

=====

Compound: YMg2Zn2Au2
Source: the Alexandria database
Functional: PBE-GGA
Structure: relaxed

Space group ... R-3m

a b c (Å): 8.277 8.277 8.277
angles (deg): 31.87 31.87 31.87
Sites, in units of the cell vectors:
Y 0.000 0.000 0.000
Mg 0.134 0.134 0.134
Mg 0.866 0.866 0.866
Zn 0.407 0.407 0.407
Zn 0.593 0.593 0.593
Au 0.254 0.254 0.254
Au 0.746 0.746 0.746

=====

Compound: YbMgAu
Source: the Alexandria database
Functional: PBE-GGA
Structure: relaxed

Space group ... Pnma

a b c (Å): 7.385 4.403 8.648
angles (deg): 90.00 90.00 90.00
Sites, in units of the cell vectors:
Yb 0.035 0.250 0.174
Yb 0.465 0.750 0.674
Yb 0.535 0.250 0.326
Yb 0.965 0.750 0.826
Mg 0.139 0.250 0.560
Mg 0.361 0.750 0.060
Mg 0.639 0.250 0.940
Mg 0.861 0.750 0.440
Au 0.236 0.750 0.372
Au 0.264 0.250 0.872
Au 0.736 0.750 0.128
Au 0.764 0.250 0.628

=====

Compound: Mg2ZnAu8
Source: the Alexandria database
Functional: PBE-GGA
Structure: relaxed

Space group ... C2/m

a b c (Å): 7.899 7.899 6.278
angles (deg): 113.36 113.36 34.03
Sites, in units of the cell vectors:
Mg 0.190 0.190 0.189
Mg 0.810 0.810 0.811
Zn 0.500 0.500 0.500
Au 0.000 0.000 0.236
Au 0.000 0.000 0.764
Au 0.179 0.179 0.679
Au 0.362 0.362 0.088
Au 0.362 0.362 0.636
Au 0.638 0.638 0.364
Au 0.638 0.638 0.912
Au 0.821 0.821 0.321

=====

Compound: Mg3Zn3Au2
Source: the Alexandria database
Functional: PBE-GGA
Structure: relaxed

Energy above the lowest structure with this stoichiometry ... 12 kJ/mol of formula units
Space group ... Pnma

a b c (Å): 6.351 17.404 5.331
angles (deg): 90.00 90.00 90.00
Sites, in units of the cell vectors:
Mg 0.007 0.120 0.130
Mg 0.007 0.380 0.130
Mg 0.169 0.250 0.650
Mg 0.331 0.750 0.150
Mg 0.493 0.620 0.630
Mg 0.493 0.880 0.630
Mg 0.507 0.120 0.370
Mg 0.507 0.380 0.370
Mg 0.669 0.250 0.850
Mg 0.831 0.750 0.350
Mg 0.993 0.620 0.870
Mg 0.993 0.880 0.870
Zn 0.189 0.015 0.606
Zn 0.189 0.485 0.606
Zn 0.190 0.750 0.656
Zn 0.310 0.250 0.156
Zn 0.311 0.515 0.106
Zn 0.311 0.985 0.106
Zn 0.689 0.015 0.894
Zn 0.689 0.485 0.894
Zn 0.690 0.750 0.844
Zn 0.810 0.250 0.344
Zn 0.811 0.515 0.394
Zn 0.811 0.985 0.394
Au 0.122 0.624 0.373
Au 0.122 0.876 0.373
Au 0.378 0.124 0.873
Au 0.378 0.376 0.873
Au 0.622 0.624 0.127
Au 0.622 0.876 0.127
Au 0.878 0.124 0.627
Au 0.878 0.376 0.627

=====

Compound: MgZn7Au4
Source: the Alexandria database
Functional: PBE-GGA
Structure: relaxed

Space group ... C2/m

a b c (Å): 6.352 6.352 9.519
angles (deg): 122.85 122.85 44.34
Sites, in units of the cell vectors:
Mg 0.000 0.000 0.000
Zn 0.063 0.063 0.352
Zn 0.212 0.212 0.883
Zn 0.352 0.352 0.433
Zn 0.500 0.500 0.000
Zn 0.648 0.648 0.567
Zn 0.788 0.788 0.117
Zn 0.937 0.937 0.648
Au 0.286 0.286 0.669
Au 0.420 0.420 0.217
Au 0.580 0.580 0.783
Au 0.714 0.714 0.331

=====

Compound: Mg5Zn4Au4
Source: the Alexandria database
Functional: PBE-GGA
Structure: relaxed

Space group ... I4/m

a b c (Å): 7.989 7.989 7.989
angles (deg): 93.62 93.62 150.89
Sites, in units of the cell vectors:
Mg 0.000 0.000 0.000
Mg 0.293 0.631 0.924
Mg 0.369 0.293 0.663
Mg 0.631 0.707 0.337
Mg 0.707 0.369 0.076
Zn 0.102 0.425 0.527
Zn 0.425 0.898 0.323
Zn 0.575 0.102 0.677
Zn 0.898 0.575 0.473
Au 0.062 0.762 0.823
Au 0.238 0.062 0.300
Au 0.762 0.938 0.700
Au 0.938 0.238 0.177

=====

Compound: Mg4ZnAu2
Source: the Alexandria database
Functional: PBE-GGA
Structure: relaxed

Energy above the lowest structure with this stoichiometry ... 63 kJ/mol of formula units
Space group ... R-3m

a b c (Å): 9.317 9.317 9.317
angles (deg): 27.63 27.63 27.63
Sites, in units of the cell vectors:
Mg 0.114 0.114 0.114
Mg 0.299 0.299 0.299
Mg 0.701 0.701 0.701
Mg 0.886 0.886 0.886
Zn 0.500 0.500 0.500
Au 0.404 0.404 0.404
Au 0.596 0.596 0.596

=====

Compound: MgZnAu6
Source: the Alexandria database
Functional: PBE-GGA
Structure: relaxed

Energy above the lowest structure with this stoichiometry ... 0 kJ/mol of formula units
Space group ... P4/mmm

a b c (Å): 4.127 4.127 8.240
angles (deg): 90.00 90.00 90.00
Sites, in units of the cell vectors:
Mg 0.000 0.000 0.000
Zn 0.000 0.000 0.500
Au 0.000 0.500 0.252
Au 0.000 0.500 0.748
Au 0.500 0.000 0.252
Au 0.500 0.000 0.748
Au 0.500 0.500 0.000
Au 0.500 0.500 0.500

=====

Compound: Mg3ZnAu2
Source: the Alexandria database
Functional: PBE-GGA
Structure: relaxed

Energy above the lowest structure with this stoichiometry ... 0 kJ/mol of formula units
Space group ... Cmmm

a b c (Å): 7.387 7.387 3.324
angles (deg): 90.00 90.00 143.48
Sites, in units of the cell vectors:
Mg 0.000 0.000 0.000
Mg 0.328 0.672 0.000
Mg 0.672 0.328 0.000
Zn 0.500 0.500 0.500
Au 0.160 0.840 0.500
Au 0.840 0.160 0.500

=====

Compound: Mg5Zn4Au
Source: the Alexandria database
Functional: PBE-GGA
Structure: relaxed

Space group ... P4/mmm

a b c (Å): 3.298 3.298 16.623
angles (deg): 90.00 90.00 90.00
Sites, in units of the cell vectors:
Mg 0.000 0.000 0.000
Mg 0.000 0.000 0.198
Mg 0.000 0.000 0.402
Mg 0.000 0.000 0.598
Mg 0.000 0.000 0.802
Zn 0.500 0.500 0.099
Zn 0.500 0.500 0.299
Zn 0.500 0.500 0.701
Zn 0.500 0.500 0.901
Au 0.500 0.500 0.500

=====

Compound: Mg2Zn3Au2
Source: the Alexandria database
Functional: PBE-GGA
Structure: relaxed

Energy above the lowest structure with this stoichiometry ... 83 kJ/mol of formula units
Space group ... I2_13

a b c (Å): 6.921 6.921 6.921
angles (deg): 109.47 109.47 109.47
Sites, in units of the cell vectors:
Mg 0.000 0.660 0.500
Mg 0.500 0.000 0.660
Mg 0.660 0.500 0.000
Mg 0.840 0.840 0.840
Zn 0.230 0.980 0.250
Zn 0.250 0.230 0.980
Zn 0.270 0.520 0.750
Zn 0.520 0.750 0.270
Zn 0.750 0.270 0.520
Zn 0.980 0.250 0.230
Au 0.000 0.033 0.500
Au 0.033 0.500 0.000
Au 0.467 0.467 0.467
Au 0.500 0.000 0.033

=====

Compound: MgZnAu2
Source: the Alexandria database
Functional: PBE-GGA
Structure: relaxed

Space group ... I-42d

a b c (Å): 5.907 5.907 5.907
angles (deg): 102.93 102.93 123.54
Sites, in units of the cell vectors:
Mg 0.000 0.000 0.000
Mg 0.750 0.250 0.500
Zn 0.250 0.750 0.500
Zn 0.500 0.500 0.000
Au 0.141 0.125 0.516
Au 0.375 0.859 0.984
Au 0.609 0.625 0.484
Au 0.875 0.391 0.016

=====

Compound: Mg4Zn5Au6
Source: the Alexandria database
Functional: PBE-GGA
Structure: relaxed

Space group ... Cmc2_1

a b c (Å): 10.782 10.782 13.819
angles (deg): 90.00 90.00 159.85
Sites, in units of the cell vectors:
Mg 0.022 0.978 0.500
Mg 0.049 0.951 0.771
Mg 0.136 0.864 0.275
Mg 0.178 0.822 0.928
Mg 0.822 0.178 0.428
Mg 0.864 0.136 0.775
Mg 0.951 0.049 0.271
Mg 0.978 0.022 0.000
Zn 0.180 0.820 0.616
Zn 0.308 0.692 0.595
Zn 0.329 0.671 0.268
Zn 0.354 0.646 0.955
Zn 0.466 0.534 0.659
Zn 0.534 0.466 0.159
Zn 0.646 0.354 0.455
Zn 0.671 0.329 0.768
Zn 0.692 0.308 0.095
Zn 0.820 0.180 0.116
Au 0.102 0.898 0.083
Au 0.230 0.770 0.439
Au 0.262 0.738 0.770
Au 0.413 0.587 0.124
Au 0.418 0.582 0.415
Au 0.455 0.545 0.848
Au 0.545 0.455 0.348
Au 0.582 0.418 0.915
Au 0.587 0.413 0.624
Au 0.738 0.262 0.270
Au 0.770 0.230 0.939
Au 0.898 0.102 0.583

=====

Compound: MgZnAu2
Source: the Alexandria database
Functional: PBE-GGA
Structure: relaxed

Space group ... R3m

a b c (Å): 7.070 7.070 7.070
angles (deg): 30.21 30.21 30.21
Sites, in units of the cell vectors:
Mg 0.000 0.000 0.000
Zn 0.833 0.833 0.833
Au 0.422 0.422 0.422
Au 0.578 0.578 0.578

=====

Compound: Mg2ZnAu
Source: the Alexandria database
Functional: PBE-GGA
Structure: relaxed

Space group ... Imm2

a b c (Å): 5.515 5.515 5.515
angles (deg): 144.55 130.64 62.23
Sites, in units of the cell vectors:
Mg 0.000 0.000 0.000
Mg 0.721 0.221 0.500
Zn 0.256 0.756 0.500
Au 0.478 0.478 0.000

=====

no.,magnetic moment (μB per cell),DFT total energy (eV/atom)
1,0.0,-2.42
2,0.0,-3.36
3,0.0,-3.49
4,0.0,-3.59
5,0.0,-2.95
6,0.0,-3.42
7,0.0,-3.18
8,0.8,-2.85
9,0.0,-3.09
10,0.0,-2.20
11,0.0,-2.02
12,0.0,-2.40
13,0.0,-2.35
14,0.0,-3.07
15,0.0,-2.55
16,0.0,-1.82
17,0.0,-2.05
18,0.0,-2.56
19,0.0,-2.51
20,0.0,-2.60
21,0.0,-2.24